No. 1
An optimized crystal structure of Ac2CdAu10. Source: Alexandria via LeMat-Bulk, functional GGA-PBE.

a b c (Å): 5.283 6.550 19.365
angles (deg): 90.00 61.36 90.00
Element x y z (fractional)
Ac: 0.425 0.622 0.150
Ac: 0.575 0.122 0.350
Ac: 0.575 0.378 0.850
Ac: 0.425 0.878 0.650
Au: 0.127 0.832 0.327
Au: 0.324 0.130 0.210
Au: 0.150 0.584 0.035
Au: 0.902 0.592 0.661
Au: 0.392 0.341 0.556
Au: 0.850 0.416 0.965
Au: 0.873 0.332 0.173
Au: 0.324 0.370 0.710
Au: 0.850 0.084 0.465
Au: 0.676 0.870 0.790
Au: 0.676 0.630 0.290
Au: 0.608 0.659 0.444
Au: 0.098 0.092 0.839
Au: 0.098 0.408 0.339
Au: 0.902 0.908 0.161
Au: 0.873 0.168 0.673
Au: 0.127 0.668 0.827
Au: 0.608 0.841 0.944
Au: 0.150 0.916 0.535
Au: 0.392 0.159 0.056
Cd: 0.000 0.000 0.000
Cd: 0.000 0.500 0.500


No. 2
An optimized crystal structure of Ac2CdAu5. Source: Alexandria via LeMat-Bulk, functional GGA-PBE.

a b c (Å): 6.609 6.609 6.609
angles (deg): 93.85 117.80 117.80
Element x y z (fractional)
Au: 0.000 0.264 0.264
Au: 0.000 0.293 0.714
Au: 0.000 0.714 0.293
Au: 0.580 0.293 0.293
Au: 0.420 0.714 0.714
Ac: 0.500 0.247 0.747
Ac: 0.500 0.747 0.247
Cd: 0.000 0.950 0.950


No. 3
An optimized crystal structure of Ac2Cd5Au. Source: Alexandria via LeMat-Bulk, functional GGA-PBE.

a b c (Å): 4.818 9.392 10.133
angles (deg): 90.00 90.00 104.86
Element x y z (fractional)
Cd: 0.600 0.200 0.750
Cd: 0.191 0.382 0.607
Cd: 0.809 0.618 0.107
Cd: 0.353 0.706 0.976
Cd: 0.647 0.294 0.024
Cd: 0.647 0.294 0.476
Cd: 0.809 0.618 0.393
Cd: 0.191 0.382 0.893
Cd: 0.400 0.800 0.250
Cd: 0.353 0.706 0.524
Ac: 0.809 0.618 0.750
Ac: 0.000 0.000 0.000
Ac: 0.000 0.000 0.500
Ac: 0.191 0.382 0.250
Au: 0.554 0.107 0.250
Au: 0.446 0.893 0.750


No. 4
An optimized crystal structure of AcCd6Au12. Source: Alexandria via LeMat-Bulk, functional GGA-PBE.

a b c (Å): 7.748 7.748 7.748
angles (deg): 103.64 103.64 103.64
Element x y z (fractional)
Au: 0.646 0.646 0.897
Au: 0.354 0.354 0.103
Au: 0.888 0.500 0.112
Au: 0.500 0.888 0.112
Au: 0.112 0.888 0.500
Au: 0.888 0.112 0.500
Au: 0.112 0.500 0.888
Au: 0.646 0.897 0.646
Au: 0.500 0.112 0.888
Au: 0.354 0.103 0.354
Au: 0.103 0.354 0.354
Au: 0.897 0.646 0.646
Cd: 0.310 0.706 0.706
Cd: 0.294 0.294 0.690
Cd: 0.294 0.690 0.294
Cd: 0.706 0.706 0.310
Cd: 0.706 0.310 0.706
Cd: 0.690 0.294 0.294
Ac: 0.000 0.000 0.000


no.,energy of formation (eV/atom),energy (eV per cell),size of the total moment (μB/cell)
1,-0.46,-95.85,0.00
2,-0.56,-30.03,0.00
3,-0.37,-38.11,0.00
4,-0.19,-52.57,0.00